Below is SmGeSe3 after structural relaxation, with properties calculated at the PBE-GGA level.

DOS at the Fermi energy: 0.264 states/eV per atom
ΔE_f (raw): -4.91 eV per formula unit
V: 33.24 Å³/atom

CIF file:
```
data_SmGeSe3
_chemical_formula_sum 'Sm4 Ge4 Se12'
_space_group_name_H-M_alt 'A m a 2'
_space_group_IT_number 40
_cell_length_a 4.4907
_cell_length_b 22.5361
_cell_length_c 6.5684
_cell_angle_alpha 90.00
_cell_angle_beta 90.00
_cell_angle_gamma 90.00
loop_
_space_group_symop_operation_xyz
'x,y,z'
'-x,-y,z'
'-x+1/2,y,z'
'x+1/2,-y,z'
'x,y+1/2,z+1/2'
'-x,-y+1/2,z+1/2'
'-x+1/2,y+1/2,z+1/2'
'x+1/2,-y+1/2,z+1/2'
loop_
_atom_site_label
_atom_site_type_symbol
_atom_site_fract_x
_atom_site_fract_y
_atom_site_fract_z
_atom_site_occupancy
Sm1 Sm 0.2500 0.1710 0.0000 1
Ge1 Ge 0.2500 0.3853 0.9236 1
Se1 Se 0.2500 0.0764 0.3084 1
Se2 Se 0.2500 0.2831 0.7653 1
Se3 Se 0.2500 0.3844 0.2953 1
```